This record from the Alexandria database describes an optimized crystal structure of GaHg2B. The functional is PBE.

Results
Its total energy is -1.587 eV/atom. Its calculated volume is 78 Å³/cell. The magnetic moment comes out at 0.00 μB per cell. Its space group is No. 225. For the energy above the lowest structure with this stoichiometry, the calculation gives 264 meV/atom. The formation energy is 0.9898 eV per atom.

The structure in extended XYZ format:
```
4
Lattice="0.000 3.397 3.397 3.397 0.000 3.397 3.397 3.397 0.000" Properties=species:S:1:pos:R:3 pbc="T T T"
B 0.000 0.000 0.000
Hg 1.698 1.698 1.698
Hg 5.095 5.095 5.095
Ga 3.397 3.397 3.397
```

This record from the Alexandria database describes an optimized crystal structure of LiNpPbO4. The functional is PBE.

Results
Its total energy is -7.687 eV/atom. Its calculated volume is 217 Å³/cell. The magnetic moment comes out at 4.00 μB per cell. Its space group is No. 74. The value obtained for the uncorrected formation energy is -1487 kJ/mol of formula units.

The structure in extended XYZ format:
```
14
Lattice="7.569 0.000 0.000 -3.785 5.317 -0.868 0.000 -3.642 5.989" Properties=species:S:1:pos:R:3 pbc="T T T"
Li 1.892 0.838 2.560
Li -1.892 0.838 2.560
Np 3.785 -1.821 2.994
Np 3.785 0.000 0.000
Pb 3.785 3.859 0.296
Pb 0.000 -2.184 4.825
O 3.785 -0.017 3.924
O 2.400 -0.877 1.517
O 5.169 -0.877 1.517
O 3.785 1.656 1.174
O 0.000 0.020 3.946
O 1.385 2.553 3.603
O -1.385 2.553 3.603
O 0.000 1.692 1.196
```

This record from the Alexandria database describes an optimized crystal structure of OsRu3. The functional is PBE.

Results
Its total energy is -9.362 eV/atom. Its calculated volume is 116 Å³/cell. The magnetic moment comes out at 0.01 μB per cell. Its space group is No. 223. The formation energy is 0.4019 eV per atom.

The structure in extended XYZ format:
```
8
Lattice="4.870 0.000 0.000 0.000 4.870 0.000 0.000 0.000 4.870" Properties=species:S:1:pos:R:3 pbc="T T T"
Os 0.000 0.000 0.000
Os 2.435 2.435 2.435
Ru 0.000 1.218 2.435
Ru 0.000 3.653 2.435
Ru 1.218 2.435 0.000
Ru 2.435 0.000 1.218
Ru 2.435 0.000 3.653
Ru 3.653 2.435 0.000
```

This record from the Alexandria database describes an optimized crystal structure of NaCdPCl2. The functional is PBE.

Results
Its total energy is -2.218 eV/atom. Its calculated volume is 139 Å³/cell. The magnetic moment comes out at 2.10 μB per cell. Its space group is No. 123. For the energy above the lowest structure with this stoichiometry, the calculation gives 436 meV/atom. The value obtained for the uncorrected formation energy is 24 kJ/mol of formula units.

The structure in extended XYZ format:
```
5
Lattice="-2.521 1.675 -4.005 2.630 -3.095 -2.950 -3.790 -3.928 0.742" Properties=species:S:1:pos:R:3 pbc="T T T"
P -1.895 -1.964 0.371
Cl 1.315 -1.547 -1.475
Cl -1.260 0.838 -2.002
Na 0.000 0.000 0.000
Cd -1.840 -2.674 -3.106
```

This record from the Alexandria database describes an optimized crystal structure of Ac4Pm5Dy2. The functional is PBE.

Results
Its total energy is -4.446 eV/atom. Its calculated volume is 411 Å³/cell. The magnetic moment comes out at 0.00 μB per cell. Its space group is No. 12. The formation energy is 0.0444 eV per atom.

The structure in extended XYZ format:
```
11
Lattice="5.226 0.000 -1.134 -0.755 7.513 -3.482 -0.302 -1.378 11.214" Properties=species:S:1:pos:R:3 pbc="T T T"
Ac 1.059 3.208 4.878
Ac -0.069 2.571 -0.320
Ac 3.109 2.928 1.720
Ac 4.237 3.564 6.918
Pm 3.747 0.543 4.661
Pm 0.420 5.592 1.937
Pm 3.593 5.876 3.951
Pm 2.613 0.000 -0.567
Pm 0.574 0.259 2.647
Dy 1.685 0.872 7.766
Dy 2.482 5.263 -1.167
```

This record from the Alexandria database describes an optimized crystal structure of Ta2SiOs. The functional is PBE.

Results
Its total energy is -10.334 eV/atom. Its calculated volume is 64 Å³/cell. The magnetic moment comes out at 0.00 μB per cell. Its space group is No. 8. The value obtained for the uncorrected formation energy is -94 kJ/mol of formula units.

The structure in extended XYZ format:
```
4
Lattice="-1.046 -1.519 -5.109 -2.833 -3.225 -3.328 -3.581 1.924 -1.749" Properties=species:S:1:pos:R:3 pbc="T T T"
Os -3.737 -1.504 -5.190
Si -1.856 -0.553 -2.391
Ta -3.880 -4.715 -8.409
Ta -5.597 -2.202 -7.724
```

This record from the Alexandria database describes an optimized crystal structure of CsNa2CaGa. The functional is PBE.

Results
Its total energy is -1.661 eV/atom. Its calculated volume is 223 Å³/cell. The magnetic moment comes out at 0.00 μB per cell. Its space group is No. 123. The formation energy is 0.0429 eV per atom.

The structure in extended XYZ format:
```
5
Lattice="6.171 0.000 0.000 0.000 6.171 0.000 0.000 0.000 5.865" Properties=species:S:1:pos:R:3 pbc="T T T"
Cs 3.085 3.085 2.932
Na 0.000 3.085 0.000
Na 3.085 0.000 0.000
Ca 0.000 0.000 2.932
Ga 0.000 0.000 0.000
```

This record from the Alexandria database describes an optimized crystal structure of Ba2NaZnPd. The functional is PBE.

Results
Its total energy is -2.414 eV/atom. Its calculated volume is 205 Å³/cell. The magnetic moment comes out at 0.00 μB per cell. Its space group is No. 123. For the energy above the lowest structure with this stoichiometry, the calculation gives 147 meV/atom. The formation energy is -0.0880 eV per atom.

The structure in extended XYZ format:
```
5
Lattice="6.151 0.000 0.000 0.000 6.151 0.000 0.000 0.000 5.424" Properties=species:S:1:pos:R:3 pbc="T T T"
Na 0.000 0.000 2.712
Zn 3.075 3.075 2.712
Ba 0.000 3.075 0.000
Ba 3.075 0.000 0.000
Pd 0.000 0.000 0.000
```

This record from the Alexandria database describes an optimized crystal structure of Th2Ge2Se. The functional is PBE.

Results
Its total energy is -6.413 eV/atom. Its calculated volume is 252 Å³/cell. The magnetic moment comes out at 0.00 μB per cell. Its space group is No. 194. The value obtained for the uncorrected formation energy is -435 kJ/mol of formula units.

The structure in extended XYZ format:
```
10
Lattice="-1.580 -0.782 3.981 4.226 -0.639 -0.829 2.990 14.529 4.039" Properties=species:S:1:pos:R:3 pbc="T T T"
Th 1.860 9.037 2.513
Th 0.365 1.773 0.493
Th 1.130 5.492 1.527
Th 2.625 12.756 3.547
Ge 3.790 6.601 2.801
Ge 0.360 -0.710 2.384
Ge 1.845 6.506 4.391
Ge 5.275 13.818 4.807
Se 2.598 10.162 5.407
Se 3.038 2.946 1.784
```

This record from the Alexandria database describes an optimized crystal structure of K2SrThS4. The functional is PBE.

Results
Its total energy is -5.298 eV/atom. Its calculated volume is 234 Å³/cell. The magnetic moment comes out at 0.00 μB per cell. Its space group is No. 10. The value obtained for the uncorrected formation energy is -1406 kJ/mol of formula units.

The structure in extended XYZ format:
```
8
Lattice="4.280 0.000 0.000 0.000 7.428 0.134 0.000 -2.589 7.326" Properties=species:S:1:pos:R:3 pbc="T T T"
K 2.140 -1.295 3.663
K 0.000 2.419 3.730
Sr 2.140 3.714 0.067
Th 0.000 0.000 0.000
S 2.140 1.086 1.541
S 2.140 3.753 5.919
S 0.000 -0.258 5.831
S 0.000 5.097 1.629
```

This record from the Alexandria database describes an optimized crystal structure of Ac2PaGa2N6. The functional is PBE.

Results
Its total energy is -7.450 eV/atom. Its calculated volume is 185 Å³/cell. The magnetic moment comes out at 0.00 μB per cell. Its space group is No. 166. The value obtained for the uncorrected formation energy is -794 kJ/mol of formula units.

The structure in extended XYZ format:
```
11
Lattice="6.032 0.000 0.000 3.016 5.224 0.000 3.016 1.741 5.864" Properties=species:S:1:pos:R:3 pbc="T T T"
Ac 9.048 5.224 3.630
Ac 3.016 1.741 2.234
Pa 0.000 0.000 0.000
Ga 6.032 3.483 4.364
Ga 6.032 3.483 1.501
N 7.633 4.407 1.556
N 4.431 4.407 1.556
N 6.032 1.634 1.556
N 6.032 5.331 4.308
N 7.633 2.558 4.308
N 4.431 2.558 4.308
```

This record from the Alexandria database describes an optimized crystal structure of Ca2MgHg. The functional is PBE.

Results
Its total energy is -1.798 eV/atom. Its calculated volume is 116 Å³/cell. The magnetic moment comes out at 0.00 μB per cell. Its space group is No. 10. For the energy above the lowest structure with this stoichiometry, the calculation gives 0 meV/atom. The formation energy is -0.3235 eV per atom.

The structure in extended XYZ format:
```
4
Lattice="-3.041 1.955 1.301 -1.746 -3.300 0.880 1.487 -3.041 8.043" Properties=species:S:1:pos:R:3 pbc="T T T"
Mg -1.714 -3.778 7.343
Ca -1.690 -3.297 1.004
Ca -0.184 -3.174 4.338
Hg -1.585 -0.607 2.882
```